Entry from Alexandria: PmDy2CuS5 after structural relaxation (PBE).

Results
The energy relative to the elements, uncorrected comes out at -1463 kJ/mol of formula units. Its total DFT energy (no corrections) is -0.4398 Ry per atom. The magnetization is 0.00 μB/f.u.

Unit cell a=3.821 b=18.032 c=11.118 alpha=90.00 beta=90.00 gamma=90.00
Space group Cmc2_1 (No. 36)
Asymmetric unit:
1 Pm 0.000 0.196 0.000 (multiplicity 4)
2 Dy 0.000 0.092 0.674 (multiplicity 4)
3 Dy 0.000 0.111 0.300 (multiplicity 4)
4 Cu 0.000 0.437 0.443 (multiplicity 4)
5 S 0.000 0.046 0.054 (multiplicity 4)
6 S 0.000 0.301 0.684 (multiplicity 4)
7 S 0.000 0.330 0.322 (multiplicity 4)
8 S 0.000 0.359 0.995 (multiplicity 4)
9 S 0.000 0.496 0.771 (multiplicity 4)



Entry from Alexandria: Li7CuSi2O8 after structural relaxation (PBE).

Results
The energy relative to the elements, uncorrected comes out at -3707 kJ/mol of formula units. Its total DFT energy (no corrections) is -0.4346 Ry per atom. The magnetization is 0.07 μB/f.u.

Unit cell a=15.506 b=6.358 c=7.820 alpha=90.00 beta=91.99 gamma=90.00
Space group C2/m (No. 12)
Asymmetric unit:
1 Li 0.000 0.000 0.000 (multiplicity 2)
2 Li 0.000 0.500 0.000 (multiplicity 2)
3 Li 0.068 0.000 0.703 (multiplicity 4)
4 Li 0.087 0.257 0.374 (multiplicity 8)
5 Li 0.150 0.500 0.147 (multiplicity 4)
6 Li 0.182 0.245 0.844 (multiplicity 8)
7 Cu 0.226 0.500 0.601 (multiplicity 4)
8 Si 0.069 0.500 0.714 (multiplicity 4)
9 Si 0.147 0.000 0.151 (multiplicity 4)
10 O 0.035 0.500 0.260 (multiplicity 4)
11 O 0.052 0.000 0.240 (multiplicity 4)
12 O 0.105 0.286 0.617 (multiplicity 8)
13 O 0.115 0.500 0.909 (multiplicity 4)
14 O 0.130 0.000 0.942 (multiplicity 4)
15 O 0.199 0.214 0.220 (multiplicity 8)



Entry from Alexandria: Nd4CdIn2 after structural relaxation (PBE).

Results
The calculation puts the energy above the lowest structure with this stoichiometry at 184 meV/atom. Its total DFT energy (no corrections) is -0.2759 Ry per atom. The magnetization is 0.00 μB/f.u.

Unit cell a=9.905 b=12.507 c=3.788 alpha=90.00 beta=90.00 gamma=90.00
Space group Pbam (No. 55)
Asymmetric unit:
1 Nd 0.179 0.204 0.000 (multiplicity 4)
2 Nd 0.230 0.448 0.500 (multiplicity 4)
3 Cd 0.000 0.000 0.000 (multiplicity 2)
4 In 0.058 0.702 0.500 (multiplicity 4)



Entry from Alexandria: KNdAgHg after structural relaxation (PBE).

Results
Its total DFT energy (no corrections) is -0.1698 Ry per atom. The magnetization is 0.00 μB/f.u.

Unit cell a=7.718 b=7.718 c=7.718 alpha=90.00 beta=90.00 gamma=90.00
Space group F-43m (No. 216)
Asymmetric unit:
1 K 0.000 0.000 0.000 (multiplicity 4)
2 Nd 0.000 0.000 0.500 (multiplicity 4)
3 Ag 0.250 0.250 0.250 (multiplicity 4)
4 Hg 0.250 0.250 0.750 (multiplicity 4)



Entry from Alexandria: Ac5La4Cd after structural relaxation (PBE).

Results
Its total DFT energy (no corrections) is -0.3058 Ry per atom. The magnetization is 0.00 μB/f.u.

Unit cell a=3.924 b=3.924 c=25.812 alpha=90.00 beta=90.00 gamma=90.00
Space group P4/mmm (No. 123)
Asymmetric unit:
1 Ac 0.000 0.000 0.000 (multiplicity 1)
2 Ac 0.000 0.000 0.209 (multiplicity 2)
3 Ac 0.000 0.000 0.417 (multiplicity 2)
4 La 0.500 0.500 0.104 (multiplicity 2)
5 La 0.500 0.500 0.312 (multiplicity 2)
6 Cd 0.500 0.500 0.500 (multiplicity 1)



Entry from Alexandria: Na2LiSnBr6 after structural relaxation (PBE).

Results
The energy relative to the elements, uncorrected comes out at -1126 kJ/mol of formula units. Its total DFT energy (no corrections) is -0.2224 Ry per atom. The magnetization is 0.00 μB/f.u.

Unit cell a=7.1466 b=7.1466 c=21.6143 alpha=90.00 beta=90.00 gamma=120.00
Space group R3 (No. 146, hexagonal axes)
Asymmetric unit:
1 Na 0.0000 0.0000 0.0000 (multiplicity 3)
2 Na 0.0000 0.0000 0.4969 (multiplicity 3)
3 Li 0.0000 0.0000 0.8277 (multiplicity 3)
4 Sn 0.0000 0.0000 0.1744 (multiplicity 3)
5 Br 0.0053 0.6821 0.9089 (multiplicity 9)
6 Br 0.0295 0.3418 0.7611 (multiplicity 9)



Entry from Alexandria: La5Tl2Ni after structural relaxation (PBE).

Results
The calculation puts the energy above the lowest structure with this stoichiometry at 144 meV/atom. Its total DFT energy (no corrections) is -0.3349 Ry per atom. The magnetization is 0.00 μB/f.u.

Unit cell a=10.342 b=10.347 c=9.290 alpha=90.00 beta=90.00 gamma=90.00
Space group Fmm2 (No. 42)
Asymmetric unit:
1 La 0.000 0.000 0.000 (multiplicity 4)
2 La 0.000 0.249 0.236 (multiplicity 8)
3 La 0.249 0.000 0.235 (multiplicity 8)
4 Tl 0.250 0.250 0.484 (multiplicity 8)
5 Ni 0.000 0.000 0.377 (multiplicity 4)



Entry from Alexandria: V2PPb after structural relaxation (PBE).

Results
The calculation puts the energy above the lowest structure with this stoichiometry at 0 meV/atom. Its total DFT energy (no corrections) is -0.4864 Ry per atom. The magnetization is 0.00 μB/f.u.

Unit cell a=7.022 b=7.022 c=5.689 alpha=90.00 beta=90.00 gamma=90.00
Space group I-42d (No. 122)
Asymmetric unit:
1 V 0.184 0.750 0.125 (multiplicity 8)
2 P 0.000 0.000 0.000 (multiplicity 4)
3 Pb 0.000 0.000 0.500 (multiplicity 4)



Entry from Alexandria: MnGaNiBi2 after structural relaxation (PBE).

Results
Its total DFT energy (no corrections) is -0.3034 Ry per atom. The magnetization is 3.83 μB/f.u.

Unit cell a=5.395 b=5.395 c=4.642 alpha=90.00 beta=90.00 gamma=90.00
Space group P4/mmm (No. 123)
Asymmetric unit:
1 Mn 0.000 0.000 0.000 (multiplicity 1)
2 Ga 0.000 0.000 0.500 (multiplicity 1)
3 Ni 0.500 0.500 0.000 (multiplicity 1)
4 Bi 0.000 0.500 0.500 (multiplicity 2)



Entry from Alexandria: CdP3 after structural relaxation (PBE).

Results
The calculation puts the energy above the lowest structure with this stoichiometry at 497 meV/atom. Its total DFT energy (no corrections) is -0.2809 Ry per atom. The magnetization is 0.00 μB/f.u.

Unit cell a=7.0280 b=7.0280 c=5.2450 alpha=90.00 beta=90.00 gamma=120.00
Space group P6_3/mmc (No. 194)
Asymmetric unit:
1 Cd 0.3333 0.6667 0.2500 (multiplicity 2)
2 P 0.1034 0.2067 0.7500 (multiplicity 6)



Entry from Alexandria: Ac3Pm5Nd after structural relaxation (PBE).

Results
Its total DFT energy (no corrections) is -0.3002 Ry per atom. The magnetization is 0.00 μB/f.u.

Unit cell a=13.756 b=8.471 c=12.705 alpha=90.00 beta=96.32 gamma=90.00
Space group C2/m (No. 12)
Asymmetric unit:
1 Ac 0.000 0.000 0.000 (multiplicity 2)
2 Ac 0.000 0.000 0.500 (multiplicity 2)
3 Ac 0.152 0.500 0.215 (multiplicity 4)
4 Ac 0.224 0.500 0.494 (multiplicity 4)
5 Pm 0.000 0.336 0.000 (multiplicity 4)
6 Pm 0.028 0.500 0.636 (multiplicity 4)
7 Pm 0.123 0.202 0.770 (multiplicity 8)
8 Pm 0.248 0.500 0.971 (multiplicity 4)
9 Nd 0.126 0.000 0.257 (multiplicity 4)



Entry from Alexandria: CrAgSb2 after structural relaxation (PBE).

Results
The calculation puts the energy above the lowest structure with this stoichiometry at 65 meV/atom. The energy relative to the elements, uncorrected comes out at 104 kJ/mol of formula units. Its total DFT energy (no corrections) is -0.3609 Ry per atom. The magnetization is 3.88 μB/f.u.

Unit cell a=3.441 b=3.441 c=7.874 alpha=90.00 beta=90.00 gamma=90.00
Space group P4mm (No. 99)
Asymmetric unit:
1 Cr 0.000 0.000 0.000 (multiplicity 1)
2 Ag 0.500 0.500 0.806 (multiplicity 1)
3 Sb 0.000 0.000 0.592 (multiplicity 1)
4 Sb 0.500 0.500 0.192 (multiplicity 1)



Entry from Alexandria: LiTbEr2Tl4 after structural relaxation (PBE).

Results
Its total DFT energy (no corrections) is -0.2541 Ry per atom. The magnetization is 0.00 μB/f.u.

Unit cell a=5.2195 b=5.2195 c=26.3884 alpha=90.00 beta=90.00 gamma=120.00
Space group R-3m (No. 166, hexagonal axes)
Asymmetric unit:
1 Li 0.0000 0.0000 0.0000 (multiplicity 3)
2 Tb 0.0000 0.0000 0.5000 (multiplicity 3)
3 Er 0.0000 0.0000 0.2541 (multiplicity 6)
4 Tl 0.0000 0.0000 0.1223 (multiplicity 6)
5 Tl 0.0000 0.0000 0.3724 (multiplicity 6)



Entry from Alexandria: LiLa2Ge4Au3 after structural relaxation (PBE).

Results
Its total DFT energy (no corrections) is -0.3412 Ry per atom. The magnetization is 0.00 μB/f.u.

Unit cell a=4.414 b=4.414 c=10.882 alpha=90.00 beta=90.00 gamma=90.00
Space group P-4m2 (No. 115)
Asymmetric unit:
1 Li 0.000 0.000 0.000 (multiplicity 1)
2 La 0.000 0.500 0.755 (multiplicity 2)
3 Ge 0.000 0.000 0.500 (multiplicity 1)
4 Ge 0.000 0.500 0.132 (multiplicity 2)
5 Ge 0.500 0.500 0.500 (multiplicity 1)
6 Au 0.000 0.500 0.365 (multiplicity 2)
7 Au 0.500 0.500 0.000 (multiplicity 1)



Entry from Alexandria: PmYCo after structural relaxation (PBE).

Results
The calculation puts the energy above the lowest structure with this stoichiometry at 0 meV/atom. Its total DFT energy (no corrections) is -0.4573 Ry per atom. The magnetization is 0.00 μB/f.u.

Unit cell a=12.312 b=3.728 c=8.165 alpha=90.00 beta=126.46 gamma=90.00
Space group C2/m (No. 12)
Asymmetric unit:
1 Pm 0.175 0.000 0.088 (multiplicity 4)
2 Y 0.078 0.500 0.387 (multiplicity 4)
3 Co 0.115 0.000 0.691 (multiplicity 4)



Entry from Alexandria: ThSbPd4 after structural relaxation (PBE).

Results
The calculation puts the energy above the lowest structure with this stoichiometry at 271 meV/atom. The energy relative to the elements, uncorrected comes out at -204 kJ/mol of formula units. Its total DFT energy (no corrections) is -0.4217 Ry per atom. The magnetization is 0.00 μB/f.u.

Unit cell a=5.414 b=5.414 c=9.119 alpha=90.00 beta=90.00 gamma=90.00
Space group P4_2/nmc (No. 137, origin choice 2)
Asymmetric unit:
1 Th 0.250 0.750 0.250 (multiplicity 2)
2 Sb 0.250 0.750 0.750 (multiplicity 2)
3 Pd 0.011 0.250 0.009 (multiplicity 8)



Entry from Alexandria: CsAlF2 after structural relaxation (PBE).

Results
The calculation puts the energy above the lowest structure with this stoichiometry at 466 meV/atom. The energy relative to the elements, uncorrected comes out at -632 kJ/mol of formula units. Its total DFT energy (no corrections) is -0.2736 Ry per atom. The magnetization is 0.00 μB/f.u.

Unit cell a=6.964 b=6.964 c=6.964 alpha=90.00 beta=90.00 gamma=90.00
Space group Fm-3m (No. 225)
Asymmetric unit:
1 Cs 0.000 0.000 0.000 (multiplicity 4)
2 Al 0.000 0.000 0.500 (multiplicity 4)
3 F 0.250 0.250 0.250 (multiplicity 8)



Entry from Alexandria: Ac4Pt2AuCl after structural relaxation (PBE).

Results
The energy relative to the elements, uncorrected comes out at -897 kJ/mol of formula units. Its total DFT energy (no corrections) is -0.3945 Ry per atom. The magnetization is 0.00 μB/f.u.

Unit cell a=6.332 b=6.332 c=12.578 alpha=90.00 beta=90.00 gamma=90.00
Space group I4/mmm (No. 139)
Asymmetric unit:
1 Ac 0.000 0.000 0.241 (multiplicity 4)
2 Ac 0.000 0.500 0.000 (multiplicity 4)
3 Pt 0.000 0.500 0.250 (multiplicity 4)
4 Au 0.000 0.000 0.000 (multiplicity 2)
5 Cl 0.000 0.000 0.500 (multiplicity 2)



Entry from Alexandria: K2CeErSe4 after structural relaxation (PBE).

Results
The energy relative to the elements, uncorrected comes out at -1324 kJ/mol of formula units. Its total DFT energy (no corrections) is -0.3707 Ry per atom. The magnetization is 1.01 μB/f.u.

Unit cell a=7.422 b=4.283 c=8.064 alpha=90.00 beta=107.82 gamma=90.00
Space group P2/m (No. 10)
Asymmetric unit:
1 K 0.000 0.000 0.000 (multiplicity 1)
2 K 0.500 0.500 0.000 (multiplicity 1)
3 Ce 0.000 0.500 0.500 (multiplicity 1)
4 Er 0.500 0.000 0.500 (multiplicity 1)
5 Se 0.246 0.000 0.708 (multiplicity 2)
6 Se 0.274 0.500 0.295 (multiplicity 2)



Entry from Alexandria: Ca2LaNi after structural relaxation (PBE).

Results
The calculation puts the energy above the lowest structure with this stoichiometry at 16 meV/atom. Its total DFT energy (no corrections) is -0.2780 Ry per atom. The magnetization is 0.00 μB/f.u.

Unit cell a=3.797 b=4.144 c=16.689 alpha=90.00 beta=90.00 gamma=90.00
Space group Amm2 (No. 38)
Asymmetric unit:
1 Ca 0.000 0.000 0.000 (multiplicity 2)
2 Ca 0.500 0.000 0.334 (multiplicity 2)
3 La 0.000 0.000 0.678 (multiplicity 2)
4 Ni 0.500 0.000 0.152 (multiplicity 2)